Entry 1:
Entry from Alexandria via LeMat-Bulk: a geometry-optimized Cd3SnW structure (GGA-PBE).

Calculated values
energy above the lowest structure with this stoichiometry: 428 meV per atom
formation energy from the elements: 1571 meV per atom
size of the total moment: 4.410 μB/f.u.

abc: 5.4356 5.4356 5.4356
angles: 90.00 90.00 90.00
Space group Pm-3m (No. 221)
Asymmetric unit:
Cd 0.0000 0.0000 0.5000
Sn 0.0000 0.0000 0.0000
W 0.5000 0.5000 0.5000


Entry 2:
Entry from Alexandria via LeMat-Bulk: a geometry-optimized CdSnW2 structure (GGA-PBE).

Calculated values
energy above the lowest structure with this stoichiometry: 0 meV per atom
formation energy from the elements: 959 meV per atom
size of the total moment: 0.000 μB/f.u.

abc: 6.6069 6.6069 6.6069
angles: 90.00 90.00 90.00
Space group Fm-3m (No. 225)
Asymmetric unit:
Cd 0.0000 0.0000 0.0000
Sn 0.0000 0.0000 0.5000
W 0.2500 0.2500 0.2500


Entry 3:
Entry from Alexandria via LeMat-Bulk: a geometry-optimized Cd3SnW structure (GGA-PBE).

Calculated values
energy above the lowest structure with this stoichiometry: 0 meV per atom
formation energy from the elements: 1143 meV per atom
size of the total moment: 0.000 μB/f.u.

abc: 5.2876 5.2876 5.2876
angles: 90.00 90.00 90.00
Space group Pm-3m (No. 221)
Asymmetric unit:
Cd 0.0000 0.0000 0.5000
Sn 0.5000 0.5000 0.5000
W 0.0000 0.0000 0.0000


Entry 4:
Entry from Alexandria via LeMat-Bulk: a geometry-optimized CdSnW2 structure (GGA-PBE).

Calculated values
energy above the lowest structure with this stoichiometry: 344 meV per atom
formation energy from the elements: 1303 meV per atom
size of the total moment: 0.000 μB/f.u.

abc: 7.6479 7.6479 5.5384
angles: 90.00 90.00 90.00
Space group I-42d (No. 122)
Asymmetric unit:
Cd 0.0000 0.0000 0.0000
Sn 0.0000 0.0000 0.5000
W 0.2324 0.2500 0.6250


Entry 5:
Entry from Alexandria via LeMat-Bulk: a geometry-optimized CdSnW3 structure (GGA-PBE).

Calculated values
energy above the lowest structure with this stoichiometry: 0 meV per atom
formation energy from the elements: 2613 meV per atom
size of the total moment: 0.000 μB/f.u.

abc: 4.9141 4.9141 4.9141
angles: 90.00 90.00 90.00
Space group Pm-3m (No. 221)
Asymmetric unit:
Cd 0.0000 0.0000 0.0000
Sn 0.5000 0.5000 0.5000
W 0.0000 0.5000 0.5000


Entry 6:
Entry from Alexandria via LeMat-Bulk: a geometry-optimized ZrCd2SnW structure (GGA-PBE).

Calculated values
energy above the lowest structure with this stoichiometry: 0 meV per atom
formation energy from the elements: 1130 meV per atom
size of the total moment: 0.001 μB/f.u.

abc: 5.1694 5.1694 5.1072
angles: 90.00 90.00 90.00
Space group P4/mmm (No. 123)
Asymmetric unit:
Zr 0.0000 0.0000 0.0000
Cd 0.0000 0.5000 0.5000
Sn 0.5000 0.5000 0.0000
W 0.5000 0.5000 0.5000


Entry 7:
Entry from Alexandria via LeMat-Bulk: a geometry-optimized ZrCd2SnW structure (GGA-PBE).

Calculated values
energy above the lowest structure with this stoichiometry: 514 meV per atom
formation energy from the elements: 1644 meV per atom
size of the total moment: 3.170 μB/f.u.

abc: 5.1281 5.1281 5.4987
angles: 90.00 90.00 90.00
Space group P4/mmm (No. 123)
Asymmetric unit:
Zr 0.0000 0.0000 0.0000
Cd 0.0000 0.5000 0.5000
Sn 0.0000 0.0000 0.5000
W 0.5000 0.5000 0.0000


Entry 8:
Entry from Alexandria via LeMat-Bulk: a geometry-optimized YCdSn structure (GGA-PBE).

Calculated values
formation energy from the elements: -445 meV per atom
size of the total moment: 0.000 μB/f.u.

abc: 4.9685 4.9685 3.5175
angles: 90.00 90.00 120.00
Space group P3m1 (No. 156)
Asymmetric unit:
Y 0.0000 0.0000 0.0000
Cd 0.3333 0.6667 0.4961
Sn 0.6667 0.3333 0.5027


Let's list DOS at the Fermi energy in order: 2.6 16.3 2.7 16.3 6.0 6.4 3.7 1.5 states/eV per cell.